{
  "formula": "NaVSe",
  "functional": "PBE-GGA",
  "state": "relaxed",
  "lattice": [[3.6715, 0.0000, 0.0000], [0.0000, 3.6715, 0.0000], [0.0000, 0.0000, 9.9657]],
  "species": ["Na", "Na", "V", "V", "Se", "Se"],
  "frac_coords": [[0.2500, 0.2500, 0.1611], [0.7500, 0.7500, 0.8389], [0.2500, 0.7500, 0.5000], [0.7500, 0.2500, 0.5000], [0.2500, 0.2500, 0.6745], [0.7500, 0.7500, 0.3255]],
  "e_form_raw_mev_per_atom": -567.1,
  "m_tot_mub_per_atom": 0.000
}